Entry A
The following is a PBE calculation of an optimized crystal structure of TiCuH2, from Alexandria.

a b c (Å): 5.113 5.113 5.113
angles (deg): 90.00 90.00 90.00
Space group Fm-3m (No. 225)
One atom of each set of equivalent atoms:
Ti (0.000, 0.000, 0.000) x4
Cu (0.000, 0.000, 0.500) x4
H (0.250, 0.250, 0.250) x8

Calculated values
The volume is 133.7 Å³/cell. For the total magnetic moment, the calculation gives 0.0 μB per formula unit.

Entry B
The following is a PBE calculation of an optimized crystal structure of TiCuH2, from Alexandria.

a b c (Å): 3.967 3.967 9.134
angles (deg): 90.00 90.00 90.00
Space group I-42d (No. 122)
One atom of each set of equivalent atoms:
Ti (0.000, 0.000, 0.000) x4
Cu (0.000, 0.000, 0.500) x4
H (0.231, 0.250, 0.625) x8

Calculated values
The volume is 143.7 Å³/cell. For the total magnetic moment, the calculation gives 0.0 μB per formula unit.

Result of the stability comparison: entry B is the most stable of them.

Entry A
The following is a PBE calculation of an optimized crystal structure of Ti3CuH, from Alexandria.

a b c (Å): 4.012 4.012 4.012
angles (deg): 90.00 90.00 90.00
Space group Pm-3m (No. 221)
One atom of each set of equivalent atoms:
Ti (0.000, 0.000, 0.500) x3
Cu (0.500, 0.500, 0.500) x1
H (0.000, 0.000, 0.000) x1

Calculated values
The volume is 64.6 Å³/cell. For the total magnetic moment, the calculation gives 0.0 μB per formula unit.

Entry B
The following is a PBE calculation of an optimized crystal structure of Ti3CuH, from Alexandria.

a b c (Å): 4.659 4.659 4.659
angles (deg): 90.00 90.00 90.00
Space group Pm-3m (No. 221)
One atom of each set of equivalent atoms:
Ti (0.000, 0.000, 0.500) x3
Cu (0.000, 0.000, 0.000) x1
H (0.500, 0.500, 0.500) x1

Calculated values
The volume is 101.1 Å³/cell. For the total magnetic moment, the calculation gives 2.7 μB per formula unit.

Result of the stability comparison: entry A is the most stable of them.

Entry A
The following is a PBE calculation of an optimized crystal structure of Ti3CuH3, from Alexandria.

a b c (Å): 5.3107 5.3107 18.7691
angles (deg): 90.00 90.00 120.00
Space group R-3 (No. 148, hexagonal axes)
One atom of each set of equivalent atoms:
Ti (0.0004, 0.3188, 0.4033) x18
Cu (0.0000, 0.0000, 0.1666) x6
H (0.9996, 0.3438, 0.6337) x18

Calculated values
The volume is 458.4 Å³/cell. For the total magnetic moment, the calculation gives 0.0 μB per formula unit.

Entry B
The following is a PBE calculation of an optimized crystal structure of Ti3CuH3, from Alexandria.

a b c (Å): 5.235 5.235 5.235
angles (deg): 90.00 90.00 90.00
Space group Pm-3n (No. 223)
One atom of each set of equivalent atoms:
Ti (0.000, 0.250, 0.500) x6
Cu (0.000, 0.000, 0.000) x2
H (0.000, 0.500, 0.250) x6

Calculated values
The volume is 143.4 Å³/cell. For the total magnetic moment, the calculation gives 0.0 μB per formula unit.

Result of the stability comparison: entry B is the most stable of them.

Entry A
The following is a PBE calculation of an optimized crystal structure of TiCuH, from Alexandria.

a b c (Å): 3.648 3.648 19.441
angles (deg): 90.00 90.00 90.00
Space group P4_122 (No. 91)
One atom of each set of equivalent atoms:
Ti (0.249, 0.250, 0.180) x8
Cu (0.250, 0.251, 0.043) x8
H (0.249, 0.250, 0.284) x8

Calculated values
The volume is 258.7 Å³/cell. For the total magnetic moment, the calculation gives 0.0 μB per formula unit.

Entry B
The following is a PBE calculation of an optimized crystal structure of TiCuH, from Alexandria.

a b c (Å): 2.847 2.847 3.765
angles (deg): 90.00 90.00 90.00
Space group P4/mmm (No. 123)
One atom of each set of equivalent atoms:
Ti (0.000, 0.000, 0.000) x1
Cu (0.500, 0.500, 0.500) x1
H (0.500, 0.500, 0.000) x1

Calculated values
The volume is 30.5 Å³/cell. For the total magnetic moment, the calculation gives 0.0 μB per formula unit.

Result of the stability comparison: entry B is the most stable of them.